## Sm2HOs (PBE)

Data for a relaxed structure of Sm2HOs.

Unit cell a=3.3165 b=3.3165 c=7.2236 alpha=90.00 beta=90.00 gamma=90.00
Closest atoms and distances in Å follow each position.
Element x y z (fractional)
H 0.5000 0.5000 0.5000  8 Sm 2.98, 4 H 3.32
Os 0.5000 0.5000 0.0000  8 Sm 2.94
Sm 0.0000 0.0000 0.7554  4 Os 2.94, 4 H 2.98
Sm 0.0000 0.0000 0.2446  4 Os 2.94, 4 H 2.98

ΔE to the lowest computed polymorph = 0.0000 eV per atom
Final energy = -24.3 eV for the cell shown

---

## SmH3Os (PBE)

Data for a relaxed structure of SmH3Os.

Unit cell a=3.7141 b=3.7141 c=3.7141 alpha=90.00 beta=90.00 gamma=90.00
Closest atoms and distances in Å follow each position.
Element x y z (fractional)
H 0.0000 0.5000 0.0000  2 Os 1.86
H 0.0000 0.0000 0.5000  2 Os 1.86
H 0.5000 0.0000 0.0000  2 Os 1.86
Os 0.0000 0.0000 0.0000  6 H 1.86
Sm 0.5000 0.5000 0.5000  12 H 2.63

Final energy = -27.3 eV for the cell shown

---

## Sm2HOs (PBE)

Data for a relaxed structure of Sm2HOs.

Unit cell a=4.0600 b=4.0600 c=6.4102 alpha=71.54 beta=71.54 gamma=60.00
Closest atoms and distances in Å follow each position.
Element x y z (fractional)
H 0.5000 0.5000 0.5000  6 Sm 2.75
Os 0.0000 0.0000 0.0000  6 Sm 2.81
Sm 0.7529 0.7529 0.7414  3 H 2.75, 3 Os 2.81
Sm 0.2471 0.2471 0.2586  3 H 2.75, 3 Os 2.81

ΔE to the lowest computed polymorph = 0.0547 eV per atom
Final energy = -24.1 eV for the cell shown

---

## SnH4Os (PBE)

Data for a relaxed structure of SnH4Os.

Unit cell a=4.6928 b=4.6928 c=8.1012 alpha=90.00 beta=90.00 gamma=141.02
Closest atoms and distances in Å follow each position.
Element x y z (fractional)
Sn 0.9166 0.9166 0.0000  2 H 2.20
Sn 0.9166 0.9166 0.5000  2 H 2.20
H 0.6939 0.1394 0.2500  2 Os 1.78, 5 H 1.92-1.97
H 0.6905 0.1428 0.6139  1 Os 1.70
H 0.6905 0.1428 0.8861  1 Os 1.70
H 0.1428 0.6905 0.1139  1 Os 1.70
H 0.1428 0.6905 0.3861  1 Os 1.70
H 0.4771 0.3564 0.2500  1 Os 1.66
H 0.1394 0.6939 0.7500  2 Os 1.78, 5 H 1.92-1.97
H 0.3564 0.4771 0.7500  1 Os 1.66
Os 0.5437 0.2896 0.7500  5 H 1.66-1.78
Os 0.2896 0.5437 0.2500  5 H 1.66-1.78

Final energy = -55.3 eV for the cell shown